# 1
AlTlZn2 (GGA-PBE, optimized geometry); V = 19.82 Å³ per atom; energy of formation = 0.174 eV/atom; polymorph energy (0 for the lowest one) = 0.03 eV/f.u.
1.0
3.1197 0.0000 0.0000
0.0000 3.1197 0.0000
0.0000 0.0000 8.1447
Al Tl Zn
1 1 2
Direct
0.0000 0.0000 0.0000 Al
0.0000 0.0000 0.5000 Tl
0.5000 0.5000 0.2095 Zn
0.5000 0.5000 0.7905 Zn



# 2
AlTlZn2 (GGA-PBE, optimized geometry); V = 19.92 Å³ per atom; energy of formation = 0.185 eV/atom; polymorph energy (0 for the lowest one) = 0.08 eV/f.u.
1.0
1.5966 0.9218 9.0222
-1.5966 0.9218 9.0222
0.0000 -1.8436 9.0222
Al Tl Zn
1 1 2
Direct
0.0000 0.0000 0.0000 Al
0.7617 0.7617 0.7617 Tl
0.2598 0.2598 0.2598 Zn
0.5215 0.5215 0.5215 Zn



# 3
AlTlZn (GGA-PBE, optimized geometry); V = 21.54 Å³ per atom; energy of formation = 0.120 eV/atom
1.0
4.1751 0.0000 0.0000
0.0000 4.1751 0.0000
0.0000 0.0000 7.4138
Al Tl Zn
2 2 2
Direct
0.2500 0.7500 0.0000 Al
0.7500 0.2500 0.0000 Al
0.2500 0.2500 0.3597 Tl
0.7500 0.7500 0.6403 Tl
0.2500 0.2500 0.7756 Zn
0.7500 0.7500 0.2244 Zn



# 4
AlTlZn (GGA-PBE, optimized geometry); V = 22.56 Å³ per atom; energy of formation = 0.218 eV/atom
1.0
4.5082 0.0000 0.0000
-2.2541 3.9042 0.0000
0.0000 0.0000 3.8453
Al Tl Zn
1 1 1
Direct
0.0000 0.0000 0.0000 Al
0.6667 0.3333 0.5007 Tl
0.3333 0.6667 0.0030 Zn



# 5
AlTlZn2 (GGA-PBE, optimized geometry); V = 20.53 Å³ per atom; energy of formation = 0.257 eV/atom; polymorph energy (0 for the lowest one) = 0.37 eV/f.u.
1.0
-1.7163 2.5927 4.6145
1.7163 -2.5927 4.6145
1.7163 2.5927 -4.6145
Al Tl Zn
1 1 2
Direct
0.0000 0.0000 0.0000 Al
0.5000 0.5000 0.0000 Tl
0.2291 0.7291 0.5000 Zn
0.7709 0.2709 0.5000 Zn



# 6
ZrAlTl2 (GGA-PBE, optimized geometry); V = 24.44 Å³ per atom; energy of formation = 0.021 eV/atom; polymorph energy (0 for the lowest one) = 0.03 eV/f.u.
1.0
3.1744 0.0000 0.0000
0.0000 3.1744 0.0000
0.0000 0.0000 9.7012
Zr Al Tl
1 1 2
Direct
0.0000 0.0000 0.0000 Zr
0.5000 0.5000 0.1923 Al
0.0000 0.0000 0.4548 Tl
0.5000 0.5000 0.7526 Tl



# 7
ZrAl3Tl (GGA-PBE, optimized geometry); V = 30.71 Å³ per atom; energy of formation = 0.746 eV/atom; polymorph energy (0 for the lowest one) = 0.00 eV/f.u.
1.0
5.3547 0.0000 0.0000
0.0000 5.3547 0.0000
0.0000 0.0000 5.3547
Zr Al Tl
1 3 1
Direct
0.0000 0.0000 0.0000 Zr
0.0000 0.0000 0.5000 Al
0.0000 0.5000 0.0000 Al
0.5000 0.0000 0.0000 Al
0.5000 0.5000 0.5000 Tl



# 8
Zr6AlTl (GGA-PBE, optimized geometry); V = 21.83 Å³ per atom; energy of formation = -0.203 eV/atom
1.0
4.4359 0.0000 0.0000
0.0000 4.4359 0.0000
0.0000 0.0000 8.8742
Zr Al Tl
6 1 1
Direct
0.0000 0.0000 0.0000 Zr
0.0000 0.0000 0.5000 Zr
0.0000 0.5000 0.2415 Zr
0.0000 0.5000 0.7585 Zr
0.5000 0.0000 0.2415 Zr
0.5000 0.0000 0.7585 Zr
0.5000 0.5000 0.0000 Al
0.5000 0.5000 0.5000 Tl



# 9
ZrAl2Tl (GGA-PBE, optimized geometry); V = 19.72 Å³ per atom; energy of formation = -0.137 eV/atom; polymorph energy (0 for the lowest one) = 0.19 eV/f.u.
1.0
4.3341 0.0000 0.0000
0.0000 4.3341 0.0000
0.0000 0.0000 4.1995
Zr Al Tl
1 2 1
Direct
0.0000 0.0000 0.0000 Zr
0.0000 0.5000 0.5000 Al
0.5000 0.0000 0.5000 Al
0.5000 0.5000 0.0000 Tl



# 10
ZrAlTl2 (GGA-PBE, optimized geometry); V = 23.27 Å³ per atom; energy of formation = 0.115 eV/atom; polymorph energy (0 for the lowest one) = 0.40 eV/f.u.
1.0
3.1152 0.0000 0.0000
0.0000 5.3643 0.0000
-0.0637 0.0000 5.5707
Zr Al Tl
1 1 2
Direct
0.0000 0.0000 0.0000 Zr
0.5000 0.0000 0.5000 Al
0.3085 0.5000 0.7512 Tl
0.6915 0.5000 0.2488 Tl



# 11
ZrAlTl2 (GGA-PBE, optimized geometry); V = 23.03 Å³ per atom; energy of formation = 0.098 eV/atom; polymorph energy (0 for the lowest one) = 0.34 eV/f.u.
1.0
-1.7207 2.5851 5.1767
1.7207 -2.5851 5.1767
1.7207 2.5851 -5.1767
Zr Al Tl
1 1 2
Direct
0.0000 0.0000 0.0000 Zr
0.5000 0.5000 0.0000 Al
0.2595 0.7595 0.5000 Tl
0.7405 0.2405 0.5000 Tl



# 12
ZrAl2Tl (GGA-PBE, optimized geometry); V = 20.96 Å³ per atom; energy of formation = 0.052 eV/atom; polymorph energy (0 for the lowest one) = 0.95 eV/f.u.
1.0
3.0427 0.0000 0.0000
0.0000 3.0427 0.0000
0.0000 0.0000 9.0569
Zr Al Tl
1 2 1
Direct
0.0000 0.0000 0.0000 Zr
0.0000 0.0000 0.4391 Al
0.5000 0.5000 0.2221 Al
0.5000 0.5000 0.7193 Tl



- V of number 12 (ZrAl2Tl)?
  20.96 Å³ per atom



- Look up the energy of formation of the tenth one.
  0.115 eV/atom



- Which of these has the lowest V?
  number 9



Repeat the seventh record exactly.
ZrAl3Tl (GGA-PBE, optimized geometry); V = 30.71 Å³ per atom; energy of formation = 0.746 eV/atom; polymorph energy (0 for the lowest one) = 0.00 eV/f.u.
1.0
5.3547 0.0000 0.0000
0.0000 5.3547 0.0000
0.0000 0.0000 5.3547
Zr Al Tl
1 3 1
Direct
0.0000 0.0000 0.0000 Zr
0.0000 0.0000 0.5000 Al
0.0000 0.5000 0.0000 Al
0.5000 0.0000 0.0000 Al
0.5000 0.5000 0.5000 Tl